The following is a GGA+U calculation of a relaxed Rb2CoCF6 crystal, from Alexandria via LeMat-Bulk.

Calculated values
M_tot: 0.289 μB/atom
E: -4.3309 eV per atom

Cell lengths 5.831, 5.831, 5.831 Å; angles 120.18, 120.18, 89.68 degrees
Sites, in units of the cell vectors:
Rb: 0.250 0.750 0.500
Rb: 0.750 0.250 0.500
Co: 0.000 0.000 0.000
C: 0.500 0.500 0.000
F: 0.248 0.248 0.496
F: 0.248 0.752 0.000
F: 0.268 0.268 0.000
F: 0.732 0.732 0.000
F: 0.752 0.248 0.000
F: 0.752 0.752 0.504